Entry from Alexandria via LeMat-Bulk: a geometry-optimized Tm2AlOs structure (GGA-PBE).

- raw total energy (eV for the cell shown) = -49.7
- spin magnetization (Bohr magnetons per cell) = 0.000
- energy of formation from the pure elements (kJ/mol of formula units) = -92
- theoretical density (Mg/m³) = 9.37

```
Tm2AlOs
1.0
-2.9174 -3.8887 0.1177
0.5089 -3.5586 -4.5043
4.6748 -6.4787 2.2761
Tm Al Os
4 2 2
direct
0.1768 0.2350 0.4118 Tm
0.1765 0.7350 0.9118 Tm
0.8232 0.7650 0.5882 Tm
0.8235 0.2650 0.0882 Tm
0.5007 0.2500 0.7500 Al
0.4993 0.7500 0.2500 Al
0.0006 0.2500 0.7500 Os
0.9994 0.7500 0.2500 Os
```

***

Entry from Alexandria via LeMat-Bulk: a geometry-optimized TmAl3Os structure (GGA-PBE).

- raw total energy (eV for the cell shown) = -89.2
- spin magnetization (Bohr magnetons per cell) = 0.000
- energy of formation from the pure elements (kJ/mol of formula units) = -272
- theoretical density (Mg/m³) = 8.41

```
TmAl3Os
1.0
-4.6828 -4.2814 0.7322
4.1021 -4.7132 -1.3242
1.4280 -0.5006 6.2052
Os Tm Al
3 3 9
direct
0.5000 0.0000 0.0000 Os
0.0000 0.0000 0.5000 Os
0.0000 0.5000 0.0000 Os
0.0000 0.5000 0.5000 Tm
0.5000 0.0000 0.5000 Tm
0.5000 0.5000 0.0000 Tm
0.7892 0.7892 0.2108 Al
0.2108 0.7892 0.7892 Al
0.7892 0.2108 0.2108 Al
0.2108 0.2108 0.7892 Al
0.7892 0.2108 0.7892 Al
0.2108 0.2108 0.2108 Al
0.2108 0.7892 0.2108 Al
0.7892 0.7892 0.7892 Al
0.5000 0.5000 0.5000 Al
```

***

Entry from Alexandria via LeMat-Bulk: a geometry-optimized Tm6Al2Os structure (GGA-PBE).

- raw total energy (eV for the cell shown) = -46.6
- spin magnetization (Bohr magnetons per cell) = 0.000
- energy of formation from the pure elements (kJ/mol of formula units) = -99
- theoretical density (Mg/m³) = 8.32

```
Tm6Al2Os
1.0
-1.6738 -2.2802 4.0581
6.5168 -0.2699 2.5363
-3.4050 7.7062 -0.0856
Al Os Tm
2 1 6
direct
0.3331 0.3326 0.6652 Al
0.6669 0.6674 0.3348 Al
0.0000 0.0000 0.0000 Os
0.8436 0.6005 0.6863 Tm
0.5000 0.7690 0.0000 Tm
0.1564 0.9142 0.3137 Tm
0.1564 0.3995 0.3137 Tm
0.8436 0.0858 0.6863 Tm
0.5000 0.2310 0.0000 Tm
```

***

Entry from Alexandria via LeMat-Bulk: a geometry-optimized Tm3AlOs structure (GGA-PBE).

- raw total energy (eV for the cell shown) = -60.3
- spin magnetization (Bohr magnetons per cell) = 0.000
- energy of formation from the pure elements (kJ/mol of formula units) = -170
- theoretical density (Mg/m³) = 10.25

```
Tm3AlOs
1.0
-2.0384 -0.4359 5.2380
-2.5001 -3.6790 -3.4635
7.8160 -3.3225 0.8240
Os Tm Al
2 6 2
direct
0.2500 0.2500 0.0000 Os
0.7500 0.7500 0.0000 Os
0.2952 0.4190 0.7142 Tm
0.3020 0.8020 0.1041 Tm
0.7048 0.5810 0.2858 Tm
0.0809 0.2049 0.2857 Tm
0.6980 0.1980 0.8959 Tm
0.9191 0.7951 0.7143 Tm
0.6973 0.1973 0.5000 Al
0.3027 0.8027 0.5000 Al
```

***

Entry from Alexandria via LeMat-Bulk: a geometry-optimized Tm6AlOs2 structure (GGA-PBE).

- raw total energy (eV for the cell shown) = -111.9
- spin magnetization (Bohr magnetons per cell) = 0.000
- energy of formation from the pure elements (kJ/mol of formula units) = -283
- theoretical density (Mg/m³) = 10.70

```
Tm6AlOs2
1.0
7.7573 -0.1693 -3.0452
-4.1056 6.9383 -2.1168
-0.2887 0.1693 8.3286
Tm Os Al
12 4 2
direct
0.4662 0.2835 0.1827 Tm
0.3136 0.9798 0.6662 Tm
0.2007 0.2445 0.4451 Tm
0.1008 0.2835 0.8173 Tm
0.2007 0.7555 0.9562 Tm
0.8992 0.7165 0.1827 Tm
0.3136 0.6474 0.3338 Tm
0.5338 0.7165 0.8173 Tm
0.6864 0.0202 0.3338 Tm
0.6864 0.3526 0.6662 Tm
0.7993 0.2445 0.0438 Tm
0.7993 0.7555 0.5549 Tm
0.3152 0.0000 0.3152 Os
0.5000 0.3737 0.8737 Os
0.6848 0.0000 0.6848 Os
0.5000 0.6263 0.1263 Os
0.0000 0.5000 0.5000 Al
0.0000 0.0000 0.0000 Al
```

***

Entry from Alexandria via LeMat-Bulk: a geometry-optimized TmAl2Os structure (GGA-PBE).

- raw total energy (eV for the cell shown) = -24.7
- spin magnetization (Bohr magnetons per cell) = 0.062
- energy of formation from the pure elements (kJ/mol of formula units) = -149
- theoretical density (Mg/m³) = 9.72

```
TmAl2Os
1.0
3.1344 0.0000 0.0000
0.0000 3.1344 0.0000
0.0000 0.0000 7.1865
Tm Al Os
1 2 1
direct
0.5000 0.5000 0.5000 Tm
0.0000 0.0000 0.1902 Al
0.0000 0.0000 0.8098 Al
0.5000 0.5000 0.0000 Os
```

***

Entry from Alexandria via LeMat-Bulk: a geometry-optimized Tm4Al16Os3 structure (GGA-PBE).

- raw total energy (eV for the cell shown) = -122.1
- spin magnetization (Bohr magnetons per cell) = 0.000
- energy of formation from the pure elements (kJ/mol of formula units) = -1029
- theoretical density (Mg/m³) = 6.63

```
Tm4Al16Os3
1.0
-0.6227 3.8034 -4.7495
-5.4258 -2.5080 -1.2971
-5.0616 7.5006 6.6700
Al Tm Os
16 4 3
direct
0.7169 0.2831 0.0000 Al
0.5000 0.5000 0.8054 Al
0.2489 0.2489 0.3814 Al
0.7511 0.7511 0.6186 Al
0.7169 0.7169 0.0000 Al
0.7511 0.2489 0.3814 Al
0.2489 0.7511 0.3814 Al
0.0000 0.0000 0.2180 Al
0.2489 0.7511 0.6186 Al
0.2489 0.2489 0.6186 Al
0.2831 0.2831 0.0000 Al
0.7511 0.2489 0.6186 Al
0.0000 0.0000 0.7820 Al
0.2831 0.7169 0.0000 Al
0.7511 0.7511 0.3814 Al
0.5000 0.5000 0.1946 Al
0.0000 0.5000 0.1902 Tm
0.5000 0.0000 0.1902 Tm
0.5000 0.0000 0.8098 Tm
0.0000 0.5000 0.8098 Tm
0.0000 0.0000 0.0000 Os
0.0000 0.5000 0.5000 Os
0.5000 0.0000 0.5000 Os
```

***

Entry from Alexandria via LeMat-Bulk: a geometry-optimized Tm6AlOs structure (GGA-PBE).

- raw total energy (eV for the cell shown) = -41.6
- spin magnetization (Bohr magnetons per cell) = 0.000
- energy of formation from the pure elements (kJ/mol of formula units) = 15
- theoretical density (Mg/m³) = 8.99

```
Tm6AlOs
1.0
6.5041 0.6574 0.0000
2.2092 6.4099 0.0000
1.1046 3.2049 5.6519
Tm Os Al
6 1 1
direct
0.7385 0.7342 0.0000 Tm
0.2524 0.9191 0.6153 Tm
0.2524 0.5345 0.3847 Tm
0.2615 0.2658 0.0000 Tm
0.7476 0.0809 0.3847 Tm
0.7476 0.4655 0.6153 Tm
0.5000 0.5000 0.0000 Os
0.0000 0.0000 0.0000 Al
```

***

Entry from Alexandria via LeMat-Bulk: a geometry-optimized TmAl2Os structure (GGA-PBE).

- raw total energy (eV for the cell shown) = -23.2
- spin magnetization (Bohr magnetons per cell) = 0.000
- energy of formation from the pure elements (kJ/mol of formula units) = -4
- theoretical density (Mg/m³) = 9.28

```
TmAl2Os
1.0
3.0751 0.0000 0.0000
1.5375 2.6631 0.0000
1.5375 0.8877 9.0245
Os Al Tm
1 2 1
direct
0.0000 0.0000 0.0000 Os
0.7358 0.7358 0.7927 Al
0.2642 0.2642 0.2073 Al
0.5000 0.5000 0.5000 Tm
```

***

Entry from Alexandria via LeMat-Bulk: a geometry-optimized Tm2AlOs structure (GGA-PBE).

- raw total energy (eV for the cell shown) = -25.3
- spin magnetization (Bohr magnetons per cell) = 0.000
- energy of formation from the pure elements (kJ/mol of formula units) = -129
- theoretical density (Mg/m³) = 11.28

```
Tm2AlOs
1.0
4.8710 0.0000 0.0000
2.4355 4.2184 0.0000
2.4355 1.4061 3.9771
Tm Al Os
2 1 1
direct
0.2500 0.2500 0.2500 Tm
0.7500 0.7500 0.7500 Tm
0.5000 0.5000 0.5000 Al
0.0000 0.0000 0.0000 Os
```

***

Entry from Alexandria via LeMat-Bulk: a geometry-optimized Tm2AlOs structure (GGA-PBE).

- raw total energy (eV for the cell shown) = -25.5
- spin magnetization (Bohr magnetons per cell) = 0.000
- energy of formation from the pure elements (kJ/mol of formula units) = -149
- theoretical density (Mg/m³) = 11.10

```
Tm2AlOs
1.0
-3.2730 -1.0539 -0.3015
-0.2929 -0.0741 3.4384
-2.1339 6.6383 -0.0387
Al Tm Os
1 2 1
direct
0.5000 0.5000 0.5000 Al
0.0000 0.0000 0.2299 Tm
0.0000 0.0000 0.7701 Tm
0.5000 0.5000 0.0000 Os
```

***

Entry from Alexandria via LeMat-Bulk: a geometry-optimized Tm4AlOs structure (GGA-PBE).

- raw total energy (eV for the cell shown) = -139.5
- spin magnetization (Bohr magnetons per cell) = 0.000
- energy of formation from the pure elements (kJ/mol of formula units) = -195
- theoretical density (Mg/m³) = 10.05

```
Tm4AlOs
1.0
-9.0285 1.1398 -2.4104
-3.0348 -2.9473 -8.4099
-5.6926 -7.4741 -0.5954
Al Tm Os
4 16 4
direct
0.4816 0.1728 0.1728 Al
0.1728 0.4816 0.1728 Al
0.1728 0.1728 0.1728 Al
0.1728 0.1728 0.4816 Al
0.1928 0.1928 0.8072 Tm
0.8072 0.1928 0.8072 Tm
0.9450 0.9450 0.5550 Tm
0.8019 0.3994 0.3994 Tm
0.9450 0.5550 0.9450 Tm
0.5550 0.9450 0.9450 Tm
0.1928 0.8072 0.8072 Tm
0.3994 0.8019 0.3994 Tm
0.8072 0.1928 0.1928 Tm
0.5550 0.9450 0.5550 Tm
0.5550 0.5550 0.9450 Tm
0.8072 0.8072 0.1928 Tm
0.3994 0.3994 0.3994 Tm
0.1928 0.8072 0.1928 Tm
0.3994 0.3994 0.8019 Tm
0.9450 0.5550 0.5550 Tm
0.6104 0.1687 0.6104 Os
0.6104 0.6104 0.1687 Os
0.6104 0.6104 0.6104 Os
0.1687 0.6104 0.6104 Os
```

***

Entry from Alexandria via LeMat-Bulk: a geometry-optimized YTmAlOs structure (GGA-PBE).

- raw total energy (eV for the cell shown) = -27.1
- spin magnetization (Bohr magnetons per cell) = 0.000
- energy of formation from the pure elements (kJ/mol of formula units) = -115
- theoretical density (Mg/m³) = 9.41

```
YTmAlOs
1.0
4.9119 0.0000 0.0000
2.4559 4.2538 0.0000
2.4559 1.4179 4.0105
Tm Y Al Os
1 1 1 1
direct
0.2500 0.2500 0.2500 Tm
0.7500 0.7500 0.7500 Y
0.5000 0.5000 0.5000 Al
0.0000 0.0000 0.0000 Os
```

***

Entry from Alexandria via LeMat-Bulk: a geometry-optimized UAlOs2 structure (GGA-PBE).

- raw total energy (eV for the cell shown) = -38.4
- spin magnetization (Bohr magnetons per cell) = 0.527
- energy of formation from the pure elements (kJ/mol of formula units) = -92
- theoretical density (Mg/m³) = 16.01

```
UAlOs2
1.0
-0.9220 -3.4105 0.7836
2.8136 -1.4319 -2.9213
3.0632 -0.1351 3.0164
Os U Al
2 1 1
direct
0.0000 0.5000 0.0000 Os
0.0000 0.0000 0.5000 Os
0.5000 0.5000 0.5000 U
0.5000 0.0000 0.0000 Al
```

***

Entry from Alexandria via LeMat-Bulk: a geometry-optimized UAlOs2 structure (GGA-PBE).

- raw total energy (eV for the cell shown) = -38.3
- spin magnetization (Bohr magnetons per cell) = 0.002
- energy of formation from the pure elements (kJ/mol of formula units) = -79
- theoretical density (Mg/m³) = 16.59

```
UAlOs2
1.0
-1.3610 -1.8090 -2.0353
1.9658 -2.2272 0.6651
-4.3164 -2.3294 4.9570
Al Os U
1 2 1
direct
0.5000 0.5000 0.0000 Al
0.0000 0.0000 0.7809 Os
0.0000 0.0000 0.2191 Os
0.5000 0.5000 0.5000 U
```

***

Entry from Alexandria via LeMat-Bulk: a geometry-optimized U2AlOs3 structure (GGA-PBE).

- raw total energy (eV for the cell shown) = -61.6
- spin magnetization (Bohr magnetons per cell) = 0.005
- energy of formation from the pure elements (kJ/mol of formula units) = -156
- theoretical density (Mg/m³) = 17.21

```
U2AlOs3
1.0
4.5953 -0.0696 2.0413
1.2997 4.4082 2.0413
-0.0946 -0.0696 5.0273
U Os Al
2 3 1
direct
0.6189 0.6189 0.6189 U
0.3811 0.3811 0.3811 U
0.5000 0.0000 0.0000 Os
0.0000 0.5000 0.0000 Os
0.0000 0.0000 0.5000 Os
0.0000 0.0000 0.0000 Al
```

***

Entry from Alexandria via LeMat-Bulk: a geometry-optimized UAlOs structure (GGA-PBE).

- raw total energy (eV for the cell shown) = -26.9
- spin magnetization (Bohr magnetons per cell) = 0.979
- energy of formation from the pure elements (kJ/mol of formula units) = -63
- theoretical density (Mg/m³) = 14.19

```
UAlOs
1.0
-2.6426 -1.5249 -0.1833
0.7400 -0.9446 -2.8112
3.4621 -3.3823 3.7095
U Al Os
1 1 1
direct
0.0141 0.0141 0.0282 U
0.3082 0.3082 0.6164 Al
0.6777 0.6777 0.3554 Os
```

***

Entry from Alexandria via LeMat-Bulk: a geometry-optimized UAlOs structure (GGA-PBE).

- raw total energy (eV for the cell shown) = -26.7
- spin magnetization (Bohr magnetons per cell) = 0.018
- energy of formation from the pure elements (kJ/mol of formula units) = -44
- theoretical density (Mg/m³) = 14.06

```
UAlOs
1.0
3.0904 0.0000 0.0000
0.0000 4.4815 0.0000
0.0000 -2.2408 3.8811
U Al Os
1 1 1
direct
0.0001 0.0000 0.0000 U
0.4999 0.6667 0.3333 Al
0.5001 0.3333 0.6667 Os
```

***

Entry from Alexandria via LeMat-Bulk: a geometry-optimized UAlOs2 structure (GGA-PBE).

- raw total energy (eV for the cell shown) = -38.0
- spin magnetization (Bohr magnetons per cell) = 1.332
- energy of formation from the pure elements (kJ/mol of formula units) = -51
- theoretical density (Mg/m³) = 15.59

```
UAlOs2
1.0
-3.0938 3.1393 1.3095
-3.0765 1.5959 -3.0217
-4.4304 -1.1646 0.3972
Os U Al
2 1 1
direct
0.2500 0.2500 0.2500 Os
0.7500 0.7500 0.7500 Os
0.5000 0.5000 0.5000 U
0.0000 0.0000 0.0000 Al
```

***

Entry from Alexandria via LeMat-Bulk: a geometry-optimized UAlOs2 structure (GGA-PBE).

- raw total energy (eV for the cell shown) = -37.3
- spin magnetization (Bohr magnetons per cell) = 0.000
- energy of formation from the pure elements (kJ/mol of formula units) = 20
- theoretical density (Mg/m³) = 16.75

```
UAlOs2
1.0
-2.1999 -1.8018 0.3511
-0.3559 -2.1955 -1.8062
4.2443 -6.5213 4.8181
U Os Al
1 2 1
direct
0.5000 0.5000 0.5000 U
0.7423 0.7423 0.7730 Os
0.2577 0.2577 0.2270 Os
0.0000 0.0000 0.0000 Al
```